Here is an optimized crystal structure of TbTlIn from Alexandria via LeMat-Bulk. Energies are from PBE.

Distance to the lowest polymorph of the same formula: 282.3 meV per atom
Formation energy from the elements: -16 meV/atom
Spin magnetization: 0.000 μB/cell

a b c (Å): 6.8328 6.8328 11.2304
angles (deg): 116.45 116.45 62.35
Atoms (fractional coordinates):
Tl1 0.6250 0.3750 0.2500
Tl2 0.1250 0.3750 0.7500
Tl3 0.6250 0.8750 0.2500
Tl4 0.6250 0.3750 0.7500
Tb1 0.1755 0.1755 0.0000
Tb2 0.0745 0.5745 0.5000
Tb3 0.8245 0.8245 0.0000
Tb4 0.4255 0.9255 0.5000
In1 0.1260 0.6260 0.2520
In2 0.8760 0.8760 0.7520
In3 0.1240 0.1240 0.2480
In4 0.3740 0.8740 0.7480

---

Here is an optimized crystal structure of Hf2Mn2Fe5Ge from Alexandria via LeMat-Bulk. Energies are from PBE.

Formation energy from the elements: -12 meV/atom
Spin magnetization: 18.742 μB/cell

a b c (Å): 3.5560 8.7488 8.7488
angles (deg): 90.00 90.00 90.00
Last column: magnetic moment on the atom in μB.
Atoms (fractional coordinates):
Mn1 0.0000 0.8857 0.3857  1.49
Mn2 0.0000 0.3857 0.1143  1.49
Mn3 0.0000 0.1143 0.6143  1.49
Mn4 0.0000 0.6143 0.8857  1.49
Fe1 0.5000 0.7937 0.9409  1.72
Fe2 0.5000 0.4409 0.2937  1.72
Fe3 0.5000 0.2937 0.5591  1.72
Fe4 0.5000 0.5000 0.0000  0.04
Fe5 0.5000 0.9409 0.2063  1.72
Fe6 0.5000 0.7063 0.4409  1.72
Fe7 0.5000 0.5591 0.7063  1.72
Fe8 0.5000 0.0591 0.7937  1.72
Fe9 0.5000 0.2063 0.0591  1.72
Fe10 0.5000 0.0000 0.5000  0.04
Hf1 0.0000 0.1812 0.3188  -0.21
Hf2 0.0000 0.8188 0.6812  -0.21
Hf3 0.0000 0.6812 0.1812  -0.21
Hf4 0.0000 0.3188 0.8188  -0.21
Ge1 0.0000 0.5000 0.5000  -0.02
Ge2 0.0000 0.0000 0.0000  -0.02

---

Here is an optimized crystal structure of LaNdErTm from Alexandria via LeMat-Bulk. Energies are from PBE.

Distance to the lowest polymorph of the same formula: 0.0 meV per atom
Formation energy from the elements: 87 meV/atom
Spin magnetization: 0.003 μB/cell

a b c (Å): 5.7490 5.7490 5.7490
angles (deg): 60.00 60.00 60.00
Atoms (fractional coordinates):
Tm1 0.5000 0.5000 0.5000
La1 0.2500 0.2500 0.2500
Nd1 0.7500 0.7500 0.7500
Er1 0.0000 0.0000 0.0000

---

Here is an optimized crystal structure of SrLi2Pr from Alexandria via LeMat-Bulk. Energies are from PBE.

Distance to the lowest polymorph of the same formula: 0.0 meV per atom
Formation energy from the elements: 110 meV/atom
Spin magnetization: 0.292 μB/cell

a b c (Å): 3.9744 3.9744 8.2481
angles (deg): 90.00 90.00 90.00
Last column: magnetic moment on the atom in μB.
Atoms (fractional coordinates):
Pr1 0.5000 0.5000 0.0000  0.11
Sr1 0.5000 0.5000 0.5000  0.00
Li1 0.0000 0.0000 0.2259  0.00
Li2 0.0000 0.0000 0.7741  0.00

---

Here is an optimized crystal structure of Ga2AgGe2 from Alexandria via LeMat-Bulk. Energies are from PBE.

Distance to the lowest polymorph of the same formula: 0.0 meV per atom
Formation energy from the elements: 172 meV/atom
Spin magnetization: 0.000 μB/cell

a b c (Å): 7.0281 7.0281 4.0110
angles (deg): 90.00 90.00 90.00
Atoms (fractional coordinates):
Ga1 0.6719 0.8281 0.5000
Ga2 0.1719 0.6719 0.5000
Ga3 0.3281 0.1719 0.5000
Ga4 0.8281 0.3281 0.5000
Ge1 0.1338 0.3662 0.0000
Ge2 0.6338 0.1338 0.0000
Ge3 0.3662 0.8662 0.0000
Ge4 0.8662 0.6338 0.0000
Ag1 0.5000 0.5000 0.0000
Ag2 0.0000 0.0000 0.0000

---

Here is an optimized crystal structure of CsBaY2F from Alexandria via LeMat-Bulk. Energies are from PBE.

Spin magnetization: 0.000 μB/cell
Formation energy (no corrections): 3.270 eV/f.u.

a b c (Å): 5.9077 8.7711 5.9077
angles (deg): 90.00 90.00 90.00
Atoms (fractional coordinates):
Ba1 0.0000 0.0000 0.0000
F1 0.5000 0.5000 0.5000
Y1 0.5000 0.0000 0.0000
Y2 0.0000 0.0000 0.5000
Cs1 0.0000 0.5000 0.0000

---

Here is an optimized crystal structure of Th2ScTe2S2 from Alexandria via LeMat-Bulk. Energies are from PBE.

Spin magnetization: 1.111 μB/cell
Formation energy (no corrections): -9.559 eV/f.u.

a b c (Å): 4.7661 4.7661 8.7562
angles (deg): 105.79 105.79 90.00
Last column: magnetic moment on the atom in μB.
Atoms (fractional coordinates):
Sc1 0.0000 0.0000 0.0000  0.09
S1 0.5000 0.0000 0.0000  -0.01
S2 0.0000 0.5000 0.0000  -0.01
Te1 0.1825 0.1825 0.3650  0.01
Te2 0.8175 0.8175 0.6350  0.01
Th1 0.3876 0.3876 0.7752  0.30
Th2 0.6124 0.6124 0.2248  0.30

---

Here is an optimized crystal structure of KCo3Tc from Alexandria via LeMat-Bulk. Energies are from PBE.

Distance to the lowest polymorph of the same formula: 0.0 meV per atom
Formation energy from the elements: 1276 meV/atom
Spin magnetization: 2.792 μB/cell

a b c (Å): 4.5877 4.5877 4.5877
angles (deg): 90.00 90.00 90.00
Last column: magnetic moment on the atom in μB.
Atoms (fractional coordinates):
K1 0.5000 0.5000 0.5000  -0.01
Co1 0.0000 0.5000 0.0000  0.98
Co2 0.5000 0.0000 0.0000  0.67
Co3 0.0000 0.0000 0.5000  1.20
Tc1 0.0000 0.0000 0.0000  -0.01